This record from Alexandria describes TiSnTe6 after structural relaxation. The functional is GGA-PBE.

The structure in POSCAR format:
```
TiSnTe6
1.0
7.714 0.010 -0.012
3.856 6.686 -0.012
3.867 2.241 5.172
Te Ti Sn
6 1 1
direct
0.975 0.577 0.270
0.178 0.975 0.269
0.822 0.025 0.731
0.423 0.822 0.730
0.577 0.178 0.270
0.025 0.423 0.730
0.000 0.000 0.000
0.500 0.500 0.500
```

## Properties
Symmetry   R-3
Electronic total energy   -32.3 eV per cell



This record from Alexandria describes Ti4SnTe8 after structural relaxation. The functional is GGA-PBE.

The structure in POSCAR format:
```
Ti4SnTe8
1.0
8.103 0.000 0.000
4.052 7.017 0.000
4.052 2.339 6.616
Te Ti Sn
8 4 1
direct
0.608 0.608 0.177
0.608 0.608 0.608
0.643 0.119 0.119
0.177 0.608 0.608
0.119 0.119 0.119
0.119 0.119 0.643
0.119 0.643 0.119
0.608 0.177 0.608
0.354 0.939 0.354
0.939 0.354 0.354
0.354 0.354 0.939
0.354 0.354 0.354
0.750 0.750 0.750
```

## Properties
Symmetry   F-43m
E above lowest polymorph   0.007 eV/atom
Electronic total energy   -68.4 eV per cell



This record from Alexandria describes Ti2SnTe2 after structural relaxation. The functional is GGA-PBE.

The structure in POSCAR format:
```
Ti2SnTe2
1.0
-2.075 -5.999 -4.578
6.039 -4.167 2.724
-2.063 -1.281 2.614
Te Sn Ti
4 2 4
direct
0.854 0.354 0.500
0.354 0.146 0.500
0.146 0.646 0.500
0.646 0.854 0.500
0.500 0.500 0.000
0.000 0.000 0.000
0.857 0.643 0.000
0.357 0.857 0.000
0.643 0.143 0.000
0.143 0.357 0.000
```

## Properties
Symmetry   P4/mbm
Electronic total energy   -55.9 eV per cell



This record from Alexandria describes TiSn2TeW after structural relaxation. The functional is GGA-PBE.

The structure in POSCAR format:
```
TiSn2TeW
1.0
-5.382 -0.587 1.473
0.049 -4.619 -1.663
1.584 -1.808 5.069
W Te Sn Ti
1 1 2 1
direct
0.000 0.500 0.000
0.000 0.000 0.000
0.000 0.000 0.500
0.500 0.000 0.000
0.500 0.500 0.500
```

## Properties
Symmetry   P4/mmm
Electronic total energy   -23.1 eV per cell



This record from Alexandria describes Tl3Sn5Te12 after structural relaxation. The functional is GGA-PBE.

The structure in POSCAR format:
```
Tl3Sn5Te12
1.0
-5.509 13.826 -5.378
-0.523 -10.756 -11.596
-8.924 -4.877 12.125
Tl Sn Te
12 20 48
direct
0.375 0.750 0.625
0.750 0.875 0.625
0.750 0.375 0.125
0.375 0.625 0.250
0.250 0.125 0.375
0.625 0.250 0.375
0.125 0.250 0.875
0.125 0.875 0.750
0.875 0.750 0.125
0.875 0.125 0.250
0.250 0.625 0.875
0.625 0.375 0.750
0.125 0.375 0.250
0.750 0.125 0.875
0.000 0.500 0.500
0.250 0.875 0.125
0.000 0.000 0.500
0.625 0.875 0.250
0.875 0.250 0.625
0.125 0.750 0.375
0.500 0.500 0.000
0.375 0.250 0.125
0.625 0.750 0.875
0.000 0.500 0.000
0.500 0.000 0.000
0.500 0.500 0.500
0.750 0.625 0.375
0.375 0.125 0.750
0.500 0.000 0.500
0.875 0.625 0.750
0.250 0.375 0.625
0.000 0.000 0.000
0.121 0.406 0.083
0.417 0.379 0.594
0.538 0.323 0.917
0.094 0.917 0.379
0.962 0.583 0.177
0.538 0.215 0.121
0.583 0.962 0.677
0.583 0.621 0.406
0.038 0.417 0.823
0.879 0.285 0.462
0.285 0.879 0.962
0.785 0.323 0.906
0.715 0.121 0.038
0.038 0.621 0.715
0.083 0.906 0.121
0.323 0.785 0.406
0.621 0.038 0.215
0.215 0.677 0.094
0.083 0.177 0.462
0.677 0.462 0.583
0.917 0.094 0.879
0.177 0.083 0.962
0.379 0.417 0.094
0.879 0.594 0.917
0.677 0.215 0.594
0.621 0.583 0.906
0.462 0.785 0.879
0.121 0.715 0.538
0.177 0.094 0.715
0.285 0.406 0.823
0.323 0.538 0.417
0.215 0.538 0.621
0.417 0.038 0.323
0.406 0.121 0.583
0.094 0.177 0.215
0.785 0.462 0.379
0.594 0.715 0.677
0.406 0.285 0.323
0.715 0.594 0.177
0.917 0.823 0.538
0.823 0.906 0.285
0.823 0.917 0.038
0.906 0.083 0.621
0.379 0.962 0.785
0.462 0.677 0.083
0.962 0.379 0.285
0.594 0.879 0.417
0.906 0.823 0.785
```

## Properties
Symmetry   Ia-3d
Electronic total energy   -263.7 eV per cell



This record from Alexandria describes Tl3Sn2Te4 after structural relaxation. The functional is GGA-PBE.

The structure in POSCAR format:
```
Tl3Sn2Te4
1.0
-2.967 7.072 5.554
0.630 -5.528 7.376
7.678 4.355 -3.178
Tl Sn Te
6 4 8
direct
0.678 0.959 0.760
0.750 0.485 0.000
0.178 0.801 0.760
0.322 0.041 0.240
0.822 0.199 0.240
0.250 0.515 0.000
0.468 0.458 0.626
0.032 0.832 0.374
0.968 0.168 0.626
0.532 0.542 0.374
0.661 0.196 0.562
0.161 0.366 0.562
0.990 0.807 0.065
0.010 0.193 0.935
0.510 0.742 0.935
0.839 0.634 0.438
0.339 0.804 0.438
0.490 0.258 0.065
```

## Properties
Symmetry   C2/c
E above lowest polymorph   0.021 eV/atom
Electronic total energy   -59.1 eV per cell



no.,raw formation energy (eV/atom)
1,-0.193
2,-0.594
3,-0.374
4,1.771
5,-0.056
6,-0.208